1.
The following is a PBE-GGA calculation of a geometry-optimized TbNdIn4 structure, from Alexandria.

Unit cell a=3.644 b=3.644 c=12.240 alpha=90.00 beta=90.00 gamma=93.11
Fractional coordinates of all 6 atoms:
Tb  0.000  0.000  0.000
Nd  0.500  0.500  0.500
In  0.000  0.000  0.320
In  0.000  0.000  0.680
In  0.500  0.500  0.171
In  0.500  0.500  0.829

Calculated values
Energy above the most stable polymorph in this dataset, meV/atom: 86
Density of states at the Fermi level, states/eV/atom: 0.773
SG: Cmmm



2.
The following is a PBE-GGA calculation of a geometry-optimized MgTe structure, from Alexandria.

Unit cell a=4.150 b=4.150 c=3.749 alpha=90.00 beta=90.00 gamma=120.00
Fractional coordinates of all 2 atoms:
Mg  0.000  0.000  0.000
Te  0.667  0.333  0.500

Calculated values
Density of states at the Fermi level, states/eV/atom: 0.322
E_form (uncorrected), eV/atom: -0.596
SG: P-6m2



3.
The following is a PBE-GGA calculation of a geometry-optimized Ac2NiTe structure, from Alexandria.

Unit cell a=8.445 b=8.445 c=8.445 alpha=29.98 beta=29.98 gamma=29.98
Fractional coordinates of all 4 atoms:
Ac  0.237  0.237  0.237
Ac  0.763  0.763  0.763
Ni  0.500  0.500  0.500
Te  0.000  0.000  0.000

Calculated values
Energy above the most stable polymorph in this dataset, meV/atom: 0
Density of states at the Fermi level, states/eV/atom: 0.323
E_form (uncorrected), eV/atom: -0.833
SG: R-3m



4.
The following is a PBE-GGA calculation of a geometry-optimized AlTlPt2 structure, from Alexandria.

Unit cell a=8.768 b=8.768 c=8.768 alpha=20.65 beta=20.65 gamma=20.65
Fractional coordinates of all 4 atoms:
Al  0.000  0.000  0.000
Tl  0.238  0.238  0.238
Pt  0.484  0.484  0.484
Pt  0.732  0.732  0.732

Calculated values
Energy above the most stable polymorph in this dataset, meV/atom: 454
Density of states at the Fermi level, states/eV/atom: 0.481
SG: R3m



5.
The following is a PBE-GGA calculation of a geometry-optimized U3Ge structure, from Alexandria.

Unit cell a=5.863 b=5.863 c=4.829 alpha=90.00 beta=90.00 gamma=75.44
Fractional coordinates of all 8 atoms:
U  0.068  0.932  0.750
U  0.114  0.484  0.750
U  0.484  0.114  0.250
U  0.516  0.886  0.750
U  0.886  0.516  0.250
U  0.932  0.068  0.250
Ge  0.354  0.646  0.250
Ge  0.646  0.354  0.750

Calculated values
Energy above the most stable polymorph in this dataset, meV/atom: 105
Density of states at the Fermi level, states/eV/atom: 2.169
SG: Cmcm



6.
The following is a PBE-GGA calculation of a geometry-optimized NbTlAg structure, from Alexandria.

Unit cell a=3.024 b=5.395 c=7.424 alpha=91.00 beta=93.46 gamma=92.21
Fractional coordinates of all 6 atoms:
Nb  0.000  0.000  0.000
Nb  0.082  0.727  0.696
Tl  0.535  0.494  0.015
Tl  0.536  0.872  0.355
Ag  0.029  0.369  0.367
Ag  0.549  0.221  0.680

Calculated values
Energy above the most stable polymorph in this dataset, meV/atom: 113
Density of states at the Fermi level, states/eV/atom: 0.738
SG: P1



7.
The following is a PBE-GGA calculation of a geometry-optimized K12Pt3Cl5 structure, from Alexandria.

Unit cell a=16.094 b=16.094 c=16.094 alpha=109.47 beta=109.47 gamma=109.47
Fractional coordinates of all 80 atoms:
K  0.053  0.224  0.139
K  0.053  0.329  0.914
K  0.085  0.724  0.671
K  0.085  0.861  0.414
K  0.086  0.639  0.415
K  0.086  0.947  0.671
K  0.139  0.053  0.224
K  0.139  0.586  0.915
K  0.171  0.224  0.585
K  0.171  0.447  0.586
K  0.224  0.139  0.053
K  0.224  0.585  0.171
K  0.276  0.329  0.915
K  0.276  0.447  0.361
K  0.329  0.914  0.053
K  0.329  0.915  0.276
K  0.361  0.276  0.447
K  0.361  0.585  0.914
K  0.414  0.085  0.861
K  0.414  0.829  0.553
K  0.415  0.086  0.639
K  0.415  0.829  0.776
K  0.447  0.361  0.276
K  0.447  0.586  0.171
K  0.553  0.414  0.829
K  0.553  0.639  0.724
K  0.585  0.171  0.224
K  0.585  0.914  0.361
K  0.586  0.171  0.447
K  0.586  0.915  0.139
K  0.639  0.415  0.086
K  0.639  0.724  0.553
K  0.671  0.085  0.724
K  0.671  0.086  0.947
K  0.724  0.553  0.639
K  0.724  0.671  0.085
K  0.776  0.415  0.829
K  0.776  0.861  0.947
K  0.829  0.553  0.414
K  0.829  0.776  0.415
K  0.861  0.414  0.085
K  0.861  0.947  0.776
K  0.914  0.053  0.329
K  0.914  0.361  0.585
K  0.915  0.139  0.586
K  0.915  0.276  0.329
K  0.947  0.671  0.086
K  0.947  0.776  0.861
Pt  0.125  0.250  0.375
Pt  0.125  0.375  0.750
Pt  0.250  0.375  0.125
Pt  0.250  0.875  0.625
Pt  0.375  0.125  0.250
Pt  0.375  0.750  0.125
Pt  0.625  0.250  0.875
Pt  0.625  0.875  0.750
Pt  0.750  0.125  0.375
Pt  0.750  0.625  0.875
Pt  0.875  0.625  0.250
Pt  0.875  0.750  0.625
Cl  0.000  0.000  0.000
Cl  0.000  0.000  0.500
Cl  0.000  0.500  0.000
Cl  0.000  0.500  0.500
Cl  0.125  0.750  0.875
Cl  0.125  0.875  0.250
Cl  0.250  0.125  0.875
Cl  0.250  0.625  0.375
Cl  0.375  0.250  0.625
Cl  0.375  0.625  0.750
Cl  0.500  0.000  0.000
Cl  0.500  0.000  0.500
Cl  0.500  0.500  0.000
Cl  0.500  0.500  0.500
Cl  0.625  0.375  0.250
Cl  0.625  0.750  0.375
Cl  0.750  0.375  0.625
Cl  0.750  0.875  0.125
Cl  0.875  0.125  0.750
Cl  0.875  0.250  0.125

Calculated values
Density of states at the Fermi level, states/eV/atom: 0.316
E_form (uncorrected), eV/atom: -0.893
SG: Ia-3d



8.
The following is a PBE-GGA calculation of a geometry-optimized Pr4AlTlCd2 structure, from Alexandria.

Unit cell a=9.495 b=9.495 c=9.495 alpha=33.49 beta=33.49 gamma=33.49
Fractional coordinates of all 8 atoms:
Pr  0.122  0.122  0.122
Pr  0.372  0.372  0.372
Pr  0.628  0.628  0.628
Pr  0.878  0.878  0.878
Al  0.000  0.000  0.000
Tl  0.500  0.500  0.500
Cd  0.249  0.249  0.249
Cd  0.751  0.751  0.751

Calculated values
Density of states at the Fermi level, states/eV/atom: 1.234
SG: R-3m



9.
The following is a PBE-GGA calculation of a geometry-optimized AcCeMg structure, from Alexandria.

Unit cell a=7.127 b=7.127 c=7.127 alpha=147.93 beta=147.93 gamma=45.99
Fractional coordinates of all 3 atoms:
Ac  0.000  0.000  0.000
Ce  0.307  0.307  0.000
Mg  0.666  0.666  0.000

Calculated values
Energy above the most stable polymorph in this dataset, meV/atom: 7
Density of states at the Fermi level, states/eV/atom: 2.294
SG: I4mm



10.
The following is a PBE-GGA calculation of a geometry-optimized ZnSnPt3 structure, from Alexandria.

Unit cell a=4.664 b=4.664 c=4.664 alpha=90.00 beta=90.00 gamma=90.00
Fractional coordinates of all 5 atoms:
Zn  0.000  0.000  0.000
Sn  0.500  0.500  0.500
Pt  0.000  0.000  0.500
Pt  0.000  0.500  0.000
Pt  0.500  0.000  0.000

Calculated values
Energy above the most stable polymorph in this dataset, meV/atom: 0
Density of states at the Fermi level, states/eV/atom: 1.336
SG: Pm-3m



11.
The following is a PBE-GGA calculation of a geometry-optimized NbTlGaAu2 structure, from Alexandria.

Unit cell a=4.718 b=4.718 c=5.209 alpha=90.00 beta=90.00 gamma=90.00
Fractional coordinates of all 5 atoms:
Nb  0.000  0.000  0.000
Tl  0.500  0.500  0.000
Ga  0.500  0.500  0.500
Au  0.000  0.500  0.500
Au  0.500  0.000  0.500

Calculated values
Energy above the most stable polymorph in this dataset, meV/atom: 71
Density of states at the Fermi level, states/eV/atom: 0.981
SG: P4/mmm



12.
The following is a PBE-GGA calculation of a geometry-optimized LiNpScOs structure, from Alexandria.

Unit cell a=4.724 b=4.724 c=4.724 alpha=60.00 beta=60.00 gamma=60.00
Fractional coordinates of all 4 atoms:
Li  0.000  0.000  0.000
Np  0.250  0.250  0.250
Sc  0.750  0.750  0.750
Os  0.500  0.500  0.500

Calculated values
Density of states at the Fermi level, states/eV/atom: 2.008
SG: F-43m



13.
The following is a PBE-GGA calculation of a geometry-optimized SnAsBr2N structure, from Alexandria.

Unit cell a=5.633 b=5.633 c=5.616 alpha=90.00 beta=90.00 gamma=90.00
Fractional coordinates of all 5 atoms:
Sn  0.000  0.000  0.000
As  0.000  0.000  0.500
Br  0.000  0.500  0.000
Br  0.500  0.000  0.000
N  0.500  0.500  0.500

Calculated values
Energy above the most stable polymorph in this dataset, meV/atom: 258
Density of states at the Fermi level, states/eV/atom: 0.178
E_form (uncorrected), eV/atom: 1.052
SG: P4/mmm



14.
The following is a PBE-GGA calculation of a geometry-optimized Tb2Pm9Pr structure, from Alexandria.

Unit cell a=5.145 b=5.145 c=15.441 alpha=90.00 beta=90.00 gamma=90.00
Fractional coordinates of all 12 atoms:
Tb  0.000  0.000  0.166
Tb  0.000  0.000  0.834
Pm  0.000  0.500  0.000
Pm  0.000  0.500  0.331
Pm  0.000  0.500  0.669
Pm  0.500  0.000  0.000
Pm  0.500  0.000  0.331
Pm  0.500  0.000  0.669
Pm  0.500  0.500  0.165
Pm  0.500  0.500  0.500
Pm  0.500  0.500  0.835
Pr  0.000  0.000  0.500

Calculated values
Density of states at the Fermi level, states/eV/atom: 1.651
SG: P4/mmm



15.
The following is a PBE-GGA calculation of a geometry-optimized HoZn3Rh structure, from Alexandria.

Unit cell a=4.624 b=4.624 c=4.624 alpha=93.09 beta=93.09 gamma=93.09
Fractional coordinates of all 5 atoms:
Ho  0.000  0.000  0.000
Zn  0.119  0.509  0.509
Zn  0.509  0.119  0.509
Zn  0.509  0.509  0.119
Rh  0.648  0.648  0.648

Calculated values
Density of states at the Fermi level, states/eV/atom: 0.651
SG: R3m



16.
The following is a PBE-GGA calculation of a geometry-optimized Pa2MnB structure, from Alexandria.

Unit cell a=8.066 b=8.066 c=8.066 alpha=24.26 beta=24.26 gamma=24.26
Fractional coordinates of all 4 atoms:
Pa  0.101  0.101  0.101
Pa  0.899  0.899  0.899
Mn  0.000  0.000  0.000
B  0.500  0.500  0.500

Calculated values
Density of states at the Fermi level, states/eV/atom: 0.973
SG: R-3m



17.
The following is a PBE-GGA calculation of a geometry-optimized Ce2Si4MoPt3 structure, from Alexandria.

Unit cell a=4.271 b=4.271 c=9.841 alpha=90.00 beta=90.00 gamma=90.00
Fractional coordinates of all 10 atoms:
Ce  0.000  0.500  0.247
Ce  0.500  0.000  0.753
Si  0.000  0.000  0.000
Si  0.000  0.500  0.630
Si  0.500  0.000  0.370
Si  0.500  0.500  0.000
Mo  0.000  0.000  0.500
Pt  0.000  0.500  0.879
Pt  0.500  0.000  0.121
Pt  0.500  0.500  0.500

Calculated values
Density of states at the Fermi level, states/eV/atom: 0.974
E_form (uncorrected), eV/atom: -0.964
SG: P-4m2



18.
The following is a PBE-GGA calculation of a geometry-optimized HgPtAu2 structure, from Alexandria.

Unit cell a=4.689 b=4.689 c=4.689 alpha=60.00 beta=60.00 gamma=60.00
Fractional coordinates of all 4 atoms:
Hg  0.000  0.000  0.000
Pt  0.250  0.250  0.250
Au  0.500  0.500  0.500
Au  0.750  0.750  0.750

Calculated values
Density of states at the Fermi level, states/eV/atom: 0.454
SG: F-43m



19.
The following is a PBE-GGA calculation of a geometry-optimized CsPrOsO6 structure, from Alexandria.

Unit cell a=5.858 b=5.858 c=6.439 alpha=90.00 beta=90.00 gamma=120.00
Fractional coordinates of all 9 atoms:
Cs  0.000  0.000  0.000
Pr  0.333  0.667  0.500
Os  0.667  0.333  0.500
O  0.418  0.061  0.670
O  0.418  0.357  0.330
O  0.643  0.061  0.330
O  0.643  0.582  0.670
O  0.939  0.357  0.670
O  0.939  0.582  0.330

Calculated values
E_form (uncorrected), eV/atom: -1.729
SG: P312



20.
The following is a PBE-GGA calculation of a geometry-optimized AcPr3Er structure, from Alexandria.

Unit cell a=6.371 b=7.051 c=17.430 alpha=90.00 beta=109.27 gamma=90.00
Fractional coordinates of all 20 atoms:
Ac  0.048  0.066  0.342
Ac  0.048  0.434  0.842
Ac  0.952  0.566  0.158
Ac  0.952  0.934  0.658
Pr  0.218  0.554  0.370
Pr  0.218  0.946  0.870
Pr  0.220  0.165  0.058
Pr  0.220  0.335  0.558
Pr  0.362  0.660  0.049
Pr  0.362  0.840  0.549
Pr  0.638  0.160  0.451
Pr  0.638  0.340  0.951
Pr  0.780  0.665  0.442
Pr  0.780  0.835  0.942
Pr  0.782  0.054  0.130
Pr  0.782  0.446  0.630
Er  0.456  0.628  0.746
Er  0.456  0.872  0.246
Er  0.544  0.128  0.754
Er  0.544  0.372  0.254

Calculated values
Energy above the most stable polymorph in this dataset, meV/atom: 0
Density of states at the Fermi level, states/eV/atom: 1.499
SG: P2_1/c



21.
The following is a PBE-GGA calculation of a geometry-optimized LaMnZn2 structure, from Alexandria.

Unit cell a=3.314 b=3.314 c=7.178 alpha=90.00 beta=90.00 gamma=90.00
Fractional coordinates of all 4 atoms:
La  0.000  0.000  0.000
Mn  0.000  0.000  0.500
Zn  0.500  0.500  0.315
Zn  0.500  0.500  0.685

Calculated values
Density of states at the Fermi level, states/eV/atom: 0.902
SG: P4/mmm



22.
The following is a PBE-GGA calculation of a geometry-optimized NdB4Ir4 structure, from Alexandria.

Unit cell a=7.707 b=7.707 c=3.991 alpha=90.00 beta=90.00 gamma=90.00
Fractional coordinates of all 18 atoms:
Nd  0.250  0.250  0.250
Nd  0.750  0.750  0.750
B  0.029  0.592  0.142
B  0.092  0.971  0.642
B  0.408  0.529  0.642
B  0.471  0.908  0.142
B  0.529  0.092  0.858
B  0.592  0.471  0.358
B  0.908  0.029  0.358
B  0.971  0.408  0.858
Ir  0.091  0.859  0.141
Ir  0.141  0.591  0.641
Ir  0.359  0.909  0.641
Ir  0.409  0.641  0.141
Ir  0.591  0.359  0.859
Ir  0.641  0.091  0.359
Ir  0.859  0.409  0.359
Ir  0.909  0.141  0.859

Calculated values
Energy above the most stable polymorph in this dataset, meV/atom: 0
Density of states at the Fermi level, states/eV/atom: 0.319
SG: P4_2/n



Density values, unit g/cm³, following the record order: 7.8; 4.5; 8.0; 14.1; 16.3; 11.1; 2.5; 7.3; 6.4; 12.6; 10.9; 10.7; 3.4; 7.2; 7.8; 11.3; 9.9; 18.0; 4.9; 7.3; 6.8; 13.4.
Energy values, unit eV/atom, following the record order: -3.692; -2.965; -5.118; -4.621; -9.677; -4.773; -2.920; -3.727; -3.796; -4.233; -3.556; -8.064; -3.013; -4.717; -3.416; -8.316; -7.215; -3.147; -6.908; -4.518; -4.199; -7.992.